NbInTc: optimized geometry, PBE.

The space group is I4mm (No. 107) and the conventional cell measures 3.335, 3.335 and 9.699 Å, with angles of 90.00, 90.00 and 90.00 degrees. The inequivalent atoms are Nb at (0.000, 0.000, 0.000), In at (0.000, 0.000, 0.689) and Tc at (0.000, 0.000, 0.367).

The calculation puts the formation energy at -36.4 meV/atom. Its crystal system is tetragonal. The density of states at the Fermi level is 3.2 states/eV/f.u.